# SnTeI2Cl (PBE-GGA, optimized geometry)
data_SnTeI2Cl
_chemical_formula_sum 'Sn1 Te1 I2 Cl1'
_symmetry_space_group_name_H-M 'P 1'
_symmetry_Int_Tables_number 1
_cell_length_a 5.860
_cell_length_b 5.860
_cell_length_c 6.086
_cell_angle_alpha 90.00
_cell_angle_beta 90.00
_cell_angle_gamma 90.00
loop_
_symmetry_equiv_pos_as_xyz
'x,y,z'
loop_
_atom_site_label
_atom_site_type_symbol
_atom_site_fract_x
_atom_site_fract_y
_atom_site_fract_z
_atom_site_occupancy
Sn1 Sn 0.000 0.000 0.000 1
Te1 Te 0.000 0.000 0.500 1
I1 I 0.000 0.500 0.000 1
I2 I 0.500 0.000 0.000 1
Cl1 Cl 0.500 0.500 0.500 1
# Energy relative to the elements, uncorrected (eV/atom): 0.19
# Space group: No. 123
# Offset from the most stable computed form (meV/atom): 0



# CaBeSCl2 (PBE-GGA, optimized geometry)
data_CaBeSCl2
_chemical_formula_sum 'Ca1 Be1 S1 Cl2'
_symmetry_space_group_name_H-M 'P 1'
_symmetry_Int_Tables_number 1
_cell_length_a 4.445
_cell_length_b 4.445
_cell_length_c 4.802
_cell_angle_alpha 90.00
_cell_angle_beta 90.00
_cell_angle_gamma 90.00
loop_
_symmetry_equiv_pos_as_xyz
'x,y,z'
loop_
_atom_site_label
_atom_site_type_symbol
_atom_site_fract_x
_atom_site_fract_y
_atom_site_fract_z
_atom_site_occupancy
Ca1 Ca 0.000 0.000 0.000 1
Be1 Be 0.500 0.500 0.500 1
S1 S 0.500 0.500 0.000 1
Cl1 Cl 0.000 0.500 0.500 1
Cl2 Cl 0.500 0.000 0.500 1
# Energy relative to the elements, uncorrected (eV/atom): -1.27
# Space group: No. 123
# Offset from the most stable computed form (meV/atom): 0



# Th2Al2Co15 (PBE-GGA, optimized geometry)
data_Th2Al2Co15
_chemical_formula_sum 'Th2 Al2 Co15'
_symmetry_space_group_name_H-M 'P 1'
_symmetry_Int_Tables_number 1
_cell_length_a 6.357
_cell_length_b 6.357
_cell_length_c 6.357
_cell_angle_alpha 82.44
_cell_angle_beta 82.44
_cell_angle_gamma 82.44
loop_
_symmetry_equiv_pos_as_xyz
'x,y,z'
loop_
_atom_site_label
_atom_site_type_symbol
_atom_site_fract_x
_atom_site_fract_y
_atom_site_fract_z
_atom_site_occupancy
Th1 Th 0.147 0.147 0.147 1
Th2 Th 0.853 0.853 0.853 1
Al1 Al 0.396 0.396 0.396 1
Al2 Al 0.604 0.604 0.604 1
Co1 Co 0.000 0.500 0.500 1
Co2 Co 0.151 0.151 0.646 1
Co3 Co 0.151 0.646 0.151 1
Co4 Co 0.215 0.500 0.785 1
Co5 Co 0.215 0.785 0.500 1
Co6 Co 0.354 0.849 0.849 1
Co7 Co 0.500 0.000 0.500 1
Co8 Co 0.500 0.215 0.785 1
Co9 Co 0.500 0.500 0.000 1
Co10 Co 0.500 0.785 0.215 1
Co11 Co 0.646 0.151 0.151 1
Co12 Co 0.785 0.215 0.500 1
Co13 Co 0.785 0.500 0.215 1
Co14 Co 0.849 0.354 0.849 1
Co15 Co 0.849 0.849 0.354 1
# Space group: No. 166
# E_form (eV/f.u.): -3.570



# RbLa2Sb2 (PBE-GGA, optimized geometry)
data_RbLa2Sb2
_chemical_formula_sum 'Rb2 La4 Sb4'
_symmetry_space_group_name_H-M 'P 1'
_symmetry_Int_Tables_number 1
_cell_length_a 9.230
_cell_length_b 9.230
_cell_length_c 4.140
_cell_angle_alpha 90.00
_cell_angle_beta 90.00
_cell_angle_gamma 90.00
loop_
_symmetry_equiv_pos_as_xyz
'x,y,z'
loop_
_atom_site_label
_atom_site_type_symbol
_atom_site_fract_x
_atom_site_fract_y
_atom_site_fract_z
_atom_site_occupancy
Rb1 Rb 0.000 0.000 0.000 1
Rb2 Rb 0.500 0.500 0.000 1
La1 La 0.141 0.359 0.500 1
La2 La 0.359 0.859 0.500 1
La3 La 0.641 0.141 0.500 1
La4 La 0.859 0.641 0.500 1
Sb1 Sb 0.152 0.652 0.000 1
Sb2 Sb 0.348 0.152 0.000 1
Sb3 Sb 0.652 0.848 0.000 1
Sb4 Sb 0.848 0.348 0.000 1
# Energy relative to the elements, uncorrected (eV/atom): -0.79
# Space group: No. 127
# Offset from the most stable computed form (meV/atom): 0



# Zr3MnSb (PBE-GGA, optimized geometry)
data_Zr3MnSb
_chemical_formula_sum 'Zr3 Mn1 Sb1'
_symmetry_space_group_name_H-M 'P 1'
_symmetry_Int_Tables_number 1
_cell_length_a 4.821
_cell_length_b 4.821
_cell_length_c 4.821
_cell_angle_alpha 90.00
_cell_angle_beta 90.00
_cell_angle_gamma 90.00
loop_
_symmetry_equiv_pos_as_xyz
'x,y,z'
loop_
_atom_site_label
_atom_site_type_symbol
_atom_site_fract_x
_atom_site_fract_y
_atom_site_fract_z
_atom_site_occupancy
Zr1 Zr 0.000 0.000 0.500 1
Zr2 Zr 0.000 0.500 0.000 1
Zr3 Zr 0.500 0.000 0.000 1
Mn1 Mn 0.000 0.000 0.000 1
Sb1 Sb 0.500 0.500 0.500 1
# Energy relative to the elements, uncorrected (eV/atom): 0.05
# Space group: No. 221
# Offset from the most stable computed form (meV/atom): 0



# TiSbIr3 (PBE-GGA, optimized geometry)
data_TiSbIr3
_chemical_formula_sum 'Ti1 Sb1 Ir3'
_symmetry_space_group_name_H-M 'P 1'
_symmetry_Int_Tables_number 1
_cell_length_a 4.794
_cell_length_b 4.794
_cell_length_c 4.794
_cell_angle_alpha 90.00
_cell_angle_beta 90.00
_cell_angle_gamma 90.00
loop_
_symmetry_equiv_pos_as_xyz
'x,y,z'
loop_
_atom_site_label
_atom_site_type_symbol
_atom_site_fract_x
_atom_site_fract_y
_atom_site_fract_z
_atom_site_occupancy
Ti1 Ti 0.000 0.000 0.000 1
Sb1 Sb 0.500 0.500 0.500 1
Ir1 Ir 0.000 0.500 0.500 1
Ir2 Ir 0.500 0.000 0.500 1
Ir3 Ir 0.500 0.500 0.000 1
# Energy relative to the elements, uncorrected (eV/atom): 1.48
# Space group: No. 221
# Offset from the most stable computed form (meV/atom): 515



# Sm4Dy15Tl (PBE-GGA, optimized geometry)
data_Sm4Dy15Tl
_chemical_formula_sum 'Sm4 Dy15 Tl1'
_symmetry_space_group_name_H-M 'P 1'
_symmetry_Int_Tables_number 1
_cell_length_a 4.982
_cell_length_b 4.982
_cell_length_c 25.254
_cell_angle_alpha 90.00
_cell_angle_beta 90.00
_cell_angle_gamma 90.00
loop_
_symmetry_equiv_pos_as_xyz
'x,y,z'
loop_
_atom_site_label
_atom_site_type_symbol
_atom_site_fract_x
_atom_site_fract_y
_atom_site_fract_z
_atom_site_occupancy
Sm1 Sm 0.000 0.000 0.101 1
Sm2 Sm 0.000 0.000 0.302 1
Sm3 Sm 0.000 0.000 0.698 1
Sm4 Sm 0.000 0.000 0.899 1
Dy1 Dy 0.000 0.500 0.000 1
Dy2 Dy 0.000 0.500 0.202 1
Dy3 Dy 0.000 0.500 0.403 1
Dy4 Dy 0.000 0.500 0.597 1
Dy5 Dy 0.000 0.500 0.798 1
Dy6 Dy 0.500 0.000 0.000 1
Dy7 Dy 0.500 0.000 0.202 1
Dy8 Dy 0.500 0.000 0.403 1
Dy9 Dy 0.500 0.000 0.597 1
Dy10 Dy 0.500 0.000 0.798 1
Dy11 Dy 0.500 0.500 0.102 1
Dy12 Dy 0.500 0.500 0.305 1
Dy13 Dy 0.500 0.500 0.500 1
Dy14 Dy 0.500 0.500 0.695 1
Dy15 Dy 0.500 0.500 0.898 1
Tl1 Tl 0.000 0.000 0.500 1
# Space group: No. 123
# E_form (eV/f.u.): -0.318



# CrCu2TeC (PBE-GGA, optimized geometry)
data_CrCu2TeC
_chemical_formula_sum 'Cr1 Cu2 Te1 C1'
_symmetry_space_group_name_H-M 'P 1'
_symmetry_Int_Tables_number 1
_cell_length_a 4.145
_cell_length_b 4.145
_cell_length_c 4.055
_cell_angle_alpha 90.00
_cell_angle_beta 90.00
_cell_angle_gamma 90.00
loop_
_symmetry_equiv_pos_as_xyz
'x,y,z'
loop_
_atom_site_label
_atom_site_type_symbol
_atom_site_fract_x
_atom_site_fract_y
_atom_site_fract_z
_atom_site_occupancy
Cr1 Cr 0.000 0.000 0.000 1
Cu1 Cu 0.000 0.500 0.500 1
Cu2 Cu 0.500 0.000 0.500 1
Te1 Te 0.500 0.500 0.000 1
C1 C 0.000 0.000 0.500 1
# Energy relative to the elements, uncorrected (eV/atom): 0.43
# Space group: No. 123



# NaBr (PBE-GGA, optimized geometry)
data_NaBr
_chemical_formula_sum 'Na1 Br1'
_symmetry_space_group_name_H-M 'P 1'
_symmetry_Int_Tables_number 1
_cell_length_a 4.263
_cell_length_b 4.263
_cell_length_c 4.263
_cell_angle_alpha 60.00
_cell_angle_beta 60.00
_cell_angle_gamma 60.00
loop_
_symmetry_equiv_pos_as_xyz
'x,y,z'
loop_
_atom_site_label
_atom_site_type_symbol
_atom_site_fract_x
_atom_site_fract_y
_atom_site_fract_z
_atom_site_occupancy
Na1 Na 0.000 0.000 0.000 1
Br1 Br 0.500 0.500 0.500 1
# Energy relative to the elements, uncorrected (eV/atom): -1.56
# Space group: No. 225



# Rb3LiIr (PBE-GGA, optimized geometry)
data_Rb3LiIr
_chemical_formula_sum 'Rb3 Li1 Ir1'
_symmetry_space_group_name_H-M 'P 1'
_symmetry_Int_Tables_number 1
_cell_length_a 6.459
_cell_length_b 6.459
_cell_length_c 6.459
_cell_angle_alpha 90.00
_cell_angle_beta 90.00
_cell_angle_gamma 90.00
loop_
_symmetry_equiv_pos_as_xyz
'x,y,z'
loop_
_atom_site_label
_atom_site_type_symbol
_atom_site_fract_x
_atom_site_fract_y
_atom_site_fract_z
_atom_site_occupancy
Rb1 Rb 0.000 0.000 0.500 1
Rb2 Rb 0.000 0.500 0.000 1
Rb3 Rb 0.500 0.000 0.000 1
Li1 Li 0.500 0.500 0.500 1
Ir1 Ir 0.000 0.000 0.000 1
# Space group: No. 221
# E_form (eV/f.u.): 3.789
# Offset from the most stable computed form (meV/atom): 0